DFT (PBE) results for a geometry-optimized MnFeSn6 structure.

Formation energy from the elements = 0.2189 eV/atom
M_tot = 5.15 μB/f.u.

Unit cell a=5.7807 b=5.7807 c=6.0962 alpha=96.69 beta=96.69 gamma=101.59
Closest atoms and distances in Å follow each position.
Atoms (fractional coordinates):
Sn1 0.1916 0.1916 0.6332  1 Fe 2.53
Sn2 0.2013 0.5994 0.1974  1 Fe 2.57
Sn3 0.7987 0.4006 0.8026  1 Fe 2.57
Sn4 0.5994 0.2013 0.1974  1 Fe 2.57
Sn5 0.4006 0.7987 0.8026  1 Fe 2.57
Sn6 0.8084 0.8084 0.3668  1 Fe 2.53
Fe1 0.5000 0.5000 0.5000  6 Sn 2.53-2.57
Mn1 0.0000 0.0000 0.0000  6 Sn 2.85-3.09